[1]
DFT (GGA-PBE) results for a relaxed AgMoCl2 crystal.

Geometry as CIF:
```
data_AgMoCl2
_chemical_formula_sum 'Ag2 Mo2 Cl4'
_symmetry_space_group_name_H-M 'I -4 m 2'
_symmetry_Int_Tables_number 119
_symmetry_space_group_name_Hall 'I -4 -2'
_cell_length_a 3.812
_cell_length_b 3.812
_cell_length_c 12.016
_cell_angle_alpha 90.00
_cell_angle_beta 90.00
_cell_angle_gamma 90.00
loop_
_atom_site_label
_atom_site_type_symbol
_atom_site_fract_x
_atom_site_fract_y
_atom_site_fract_z
Ag1 Ag 0.000 0.000 0.000
Mo1 Mo 0.000 0.500 0.250
Cl1 Cl 0.000 0.000 0.500
Cl2 Cl 0.000 0.500 0.750
```

Properties
* E_form (uncorrected): 398.5 meV per atom
* E above lowest polymorph: 554 meV/atom



[2]
DFT (GGA-PBE) results for a relaxed AgMoCl2 crystal.

Geometry as CIF:
```
data_AgMoCl2
_chemical_formula_sum 'Ag1 Mo1 Cl2'
_symmetry_space_group_name_H-M 'P 1 m 1'
_symmetry_Int_Tables_number 6
_cell_length_a 4.670
_cell_length_b 3.042
_cell_length_c 7.477
_cell_angle_alpha 90.00
_cell_angle_beta 107.96
_cell_angle_gamma 90.00
loop_
_symmetry_equiv_pos_as_xyz
'x,y,z'
'x,-y,z'
loop_
_atom_site_label
_atom_site_type_symbol
_atom_site_fract_x
_atom_site_fract_y
_atom_site_fract_z
Ag1 Ag 0.000 0.000 0.000
Mo1 Mo 0.544 0.500 0.089
Cl1 Cl 0.383 0.500 0.764
Cl2 Cl 0.674 0.000 0.352
```

Properties
* E_form (uncorrected): -55.9 meV per atom
* E above lowest polymorph: 99 meV/atom



[3]
DFT (GGA-PBE) results for a relaxed AgMoCl2 crystal.

Geometry as CIF:
```
data_AgMoCl2
_chemical_formula_sum 'Ag1 Mo1 Cl2'
_symmetry_space_group_name_H-M 'P 1 2/m 1'
_symmetry_Int_Tables_number 10
_cell_length_a 2.966
_cell_length_b 4.154
_cell_length_c 6.026
_cell_angle_alpha 90.00
_cell_angle_beta 95.50
_cell_angle_gamma 90.00
loop_
_symmetry_equiv_pos_as_xyz
'x,y,z'
'-x,-y,-z'
'-x,y,-z'
'x,-y,z'
loop_
_atom_site_label
_atom_site_type_symbol
_atom_site_fract_x
_atom_site_fract_y
_atom_site_fract_z
Ag1 Ag 0.000 0.000 0.000
Mo1 Mo 0.500 0.000 0.500
Cl1 Cl 0.457 0.500 0.267
```

Properties
* E_form (uncorrected): 231.6 meV per atom
* E above lowest polymorph: 387 meV/atom



[4]
DFT (GGA-PBE) results for a relaxed Ag3MoCl9 crystal.

Geometry as CIF:
```
data_Ag3MoCl9
_chemical_formula_sum 'Ag12 Mo4 Cl36'
_symmetry_space_group_name_H-M 'C 1 c 1'
_symmetry_Int_Tables_number 9
_cell_length_a 18.070
_cell_length_b 9.468
_cell_length_c 12.292
_cell_angle_alpha 90.00
_cell_angle_beta 127.34
_cell_angle_gamma 90.00
loop_
_symmetry_equiv_pos_as_xyz
'x,y,z'
'x,-y,z+1/2'
'x+1/2,y+1/2,z'
'x+1/2,-y+1/2,z+1/2'
loop_
_atom_site_label
_atom_site_type_symbol
_atom_site_fract_x
_atom_site_fract_y
_atom_site_fract_z
Ag1 Ag 0.000 0.099 0.000
Ag2 Ag 0.369 0.287 0.770
Ag3 Ag 0.374 0.138 0.553
Mo1 Mo 0.258 0.314 0.992
Cl1 Cl 0.005 0.342 0.050
Cl2 Cl 0.017 0.144 0.475
Cl3 Cl 0.143 0.155 0.849
Cl4 Cl 0.155 0.479 0.965
Cl5 Cl 0.245 0.417 0.808
Cl6 Cl 0.248 0.162 0.566
Cl7 Cl 0.276 0.219 0.180
Cl8 Cl 0.367 0.155 0.015
Cl9 Cl 0.385 0.465 0.140
```

Properties
* E_form (uncorrected): -578.2 meV per atom



[5]
DFT (GGA-PBE) results for a relaxed AgMoCl crystal.

Geometry as CIF:
```
data_AgMoCl
_chemical_formula_sum 'Ag1 Mo1 Cl1'
_symmetry_space_group_name_H-M 'P 3 m 1'
_symmetry_Int_Tables_number 156
_cell_length_a 3.0317
_cell_length_b 3.0317
_cell_length_c 7.1646
_cell_angle_alpha 90.00
_cell_angle_beta 90.00
_cell_angle_gamma 120.00
loop_
_symmetry_equiv_pos_as_xyz
'x,y,z'
'-y,x-y,z'
'-x+y,-x,z'
'-y,-x,z'
'-x+y,y,z'
'x,x-y,z'
loop_
_atom_site_label
_atom_site_type_symbol
_atom_site_fract_x
_atom_site_fract_y
_atom_site_fract_z
Ag1 Ag 0.0000 0.0000 0.0000
Mo1 Mo 0.3333 0.6667 0.6799
Cl1 Cl 0.6667 0.3333 0.4438
```

Properties
* E_form (uncorrected): 162.2 meV per atom
* E above lowest polymorph: 0 meV/atom



[6]
DFT (GGA-PBE) results for a relaxed AgMoCl crystal.

Geometry as CIF:
```
data_AgMoCl
_chemical_formula_sum 'Ag4 Mo4 Cl4'
_symmetry_space_group_name_H-M 'F -4 3 m'
_symmetry_Int_Tables_number 216
_symmetry_space_group_name_Hall 'F -4 2 3'
_cell_length_a 6.145
_cell_length_b 6.145
_cell_length_c 6.145
_cell_angle_alpha 90.00
_cell_angle_beta 90.00
_cell_angle_gamma 90.00
loop_
_atom_site_label
_atom_site_type_symbol
_atom_site_fract_x
_atom_site_fract_y
_atom_site_fract_z
Ag1 Ag 0.000 0.000 0.000
Mo1 Mo 0.250 0.250 0.250
Cl1 Cl 0.000 0.000 0.500
```

Properties
* E_form (uncorrected): 993.4 meV per atom
* E above lowest polymorph: 831 meV/atom



[7]
DFT (GGA-PBE) results for a relaxed AgMoCl crystal.

Geometry as CIF:
```
data_AgMoCl
_chemical_formula_sum 'Ag2 Mo2 Cl2'
_symmetry_space_group_name_H-M 'I 4 m m'
_symmetry_Int_Tables_number 107
_symmetry_space_group_name_Hall 'I 4 -2'
_cell_length_a 2.948
_cell_length_b 2.948
_cell_length_c 13.129
_cell_angle_alpha 90.00
_cell_angle_beta 90.00
_cell_angle_gamma 90.00
loop_
_atom_site_label
_atom_site_type_symbol
_atom_site_fract_x
_atom_site_fract_y
_atom_site_fract_z
Ag1 Ag 0.000 0.000 0.000
Mo1 Mo 0.000 0.000 0.649
Cl1 Cl 0.000 0.000 0.265
```

Properties
* E_form (uncorrected): 368.5 meV per atom
* E above lowest polymorph: 206 meV/atom



[8]
DFT (GGA-PBE) results for a relaxed Ag2MoCl8 crystal.

Geometry as CIF:
```
data_Ag2MoCl8
_chemical_formula_sum 'Ag4 Mo2 Cl16'
_symmetry_space_group_name_H-M 'C 1 2/m 1'
_symmetry_Int_Tables_number 12
_cell_length_a 13.767
_cell_length_b 6.283
_cell_length_c 8.365
_cell_angle_alpha 90.00
_cell_angle_beta 97.51
_cell_angle_gamma 90.00
loop_
_symmetry_equiv_pos_as_xyz
'x,y,z'
'-x,-y,-z'
'-x,y,-z'
'x,-y,z'
'x+1/2,y+1/2,z'
'-x+1/2,-y+1/2,-z'
'-x+1/2,y+1/2,-z'
'x+1/2,-y+1/2,z'
loop_
_atom_site_label
_atom_site_type_symbol
_atom_site_fract_x
_atom_site_fract_y
_atom_site_fract_z
Ag1 Ag 0.166 0.000 0.433
Mo1 Mo 0.000 0.000 0.000
Cl1 Cl 0.000 0.000 0.287
Cl2 Cl 0.120 0.254 0.026
Cl3 Cl 0.172 0.500 0.426
```

Properties
* E_form (uncorrected): -547.1 meV per atom



[9]
DFT (GGA-PBE) results for a relaxed Ag2MoCl2 crystal.

Geometry as CIF:
```
data_Ag2MoCl2
_chemical_formula_sum 'Ag4 Mo2 Cl4'
_symmetry_space_group_name_H-M 'P 4/m b m'
_symmetry_Int_Tables_number 127
_symmetry_space_group_name_Hall '-P 4 2ab'
_cell_length_a 7.548
_cell_length_b 7.548
_cell_length_c 3.839
_cell_angle_alpha 90.00
_cell_angle_beta 90.00
_cell_angle_gamma 90.00
loop_
_atom_site_label
_atom_site_type_symbol
_atom_site_fract_x
_atom_site_fract_y
_atom_site_fract_z
Ag1 Ag 0.129 0.371 0.000
Mo1 Mo 0.000 0.000 0.000
Cl1 Cl 0.184 0.684 0.500
```

Properties
* E_form (uncorrected): 659.0 meV per atom
* E above lowest polymorph: 0 meV/atom



[10]
DFT (GGA-PBE) results for a relaxed AgMoCl2 crystal.

Geometry as CIF:
```
data_AgMoCl2
_chemical_formula_sum 'Ag1 Mo1 Cl2'
_symmetry_space_group_name_H-M 'P 4/m m m'
_symmetry_Int_Tables_number 123
_symmetry_space_group_name_Hall '-P 4 2'
_cell_length_a 3.004
_cell_length_b 3.004
_cell_length_c 9.894
_cell_angle_alpha 90.00
_cell_angle_beta 90.00
_cell_angle_gamma 90.00
loop_
_atom_site_label
_atom_site_type_symbol
_atom_site_fract_x
_atom_site_fract_y
_atom_site_fract_z
Ag1 Ag 0.000 0.000 0.000
Mo1 Mo 0.000 0.000 0.500
Cl1 Cl 0.500 0.500 0.349
```

Properties
* E_form (uncorrected): 211.2 meV per atom
* E above lowest polymorph: 366 meV/atom



[11]
DFT (GGA-PBE) results for a relaxed AgMoCl2 crystal.

Geometry as CIF:
```
data_AgMoCl2
_chemical_formula_sum 'Ag3 Mo3 Cl6'
_symmetry_space_group_name_H-M 'R -3 m'
_symmetry_Int_Tables_number 166
_symmetry_space_group_name_Hall '-R 3 2"'
_cell_length_a 3.0868
_cell_length_b 3.0868
_cell_length_c 31.9687
_cell_angle_alpha 90.00
_cell_angle_beta 90.00
_cell_angle_gamma 120.00
loop_
_atom_site_label
_atom_site_type_symbol
_atom_site_fract_x
_atom_site_fract_y
_atom_site_fract_z
Ag1 Ag 0.0000 0.0000 0.0000
Mo1 Mo 0.0000 0.0000 0.5000
Cl1 Cl 0.0000 0.0000 0.2208
```

Properties
* E_form (uncorrected): -155.2 meV per atom
* E above lowest polymorph: 0 meV/atom



[12]
DFT (GGA-PBE) results for a relaxed AgMo6Cl13 crystal.

Geometry as CIF:
```
data_AgMo6Cl13
_chemical_formula_sum 'Ag2 Mo12 Cl26'
_symmetry_space_group_name_H-M 'P -1'
_symmetry_Int_Tables_number 2
_cell_length_a 9.447
_cell_length_b 9.460
_cell_length_c 14.207
_cell_angle_alpha 97.72
_cell_angle_beta 107.56
_cell_angle_gamma 106.11
loop_
_symmetry_equiv_pos_as_xyz
'x,y,z'
'-x,-y,-z'
loop_
_atom_site_label
_atom_site_type_symbol
_atom_site_fract_x
_atom_site_fract_y
_atom_site_fract_z
Ag1 Ag 0.092 0.335 0.263
Mo1 Mo 0.320 0.032 0.422
Mo2 Mo 0.332 0.405 0.037
Mo3 Mo 0.368 0.569 0.905
Mo4 Mo 0.386 0.795 0.473
Mo5 Mo 0.447 0.037 0.614
Mo6 Mo 0.452 0.326 0.902
Cl1 Cl 0.083 0.074 0.319
Cl2 Cl 0.108 0.277 0.085
Cl3 Cl 0.170 0.308 0.853
Cl4 Cl 0.173 0.871 0.510
Cl5 Cl 0.199 0.657 0.777
Cl6 Cl 0.238 0.523 0.438
Cl7 Cl 0.262 0.640 0.038
Cl8 Cl 0.272 0.801 0.292
Cl9 Cl 0.378 0.081 0.772
Cl10 Cl 0.385 0.257 0.558
Cl11 Cl 0.418 0.179 0.032
Cl12 Cl 0.488 0.190 0.343
Cl13 Cl 0.489 0.491 0.783
```

Properties
* E_form (uncorrected): -896.8 meV per atom